1.
Computed, not measured: a geometry-optimized BaPr2Cd structure at the PBE level of DFT.

Unit cell a=3.940 b=3.940 c=9.745 alpha=90.00 beta=90.00 gamma=90.00
Positions (direct):
Pr: 0.000 0.000 0.811
Cd: 0.500 0.500 0.000
Pr: 0.000 0.000 0.189
Ba: 0.500 0.500 0.500

Calculated values
Formation energy   -0.051 eV per atom
Crystal system   tetragonal
Energy above the most stable polymorph in this dataset   0.000 eV/atom
Total moment   0.00 Bohr magnetons per cell

***

2.
Computed, not measured: a geometry-optimized BaPrCd4 structure at the PBE level of DFT.

Unit cell a=6.209 b=6.209 c=6.209 alpha=60.00 beta=60.00 gamma=60.00
Positions (direct):
Pr: 0.000 0.000 0.000
Cd: 0.626 0.626 0.122
Cd: 0.626 0.122 0.626
Ba: 0.250 0.250 0.250
Cd: 0.626 0.626 0.626
Cd: 0.122 0.626 0.626

Calculated values
Formation energy   -0.251 eV per atom
Crystal system   cubic
Energy above the most stable polymorph in this dataset   0.096 eV/atom
Total moment   0.00 Bohr magnetons per cell